Compound: CaReAg
Source: Alexandria
Functional: PBE
Structure: optimized geometry

M_tot: 3.11 μB/cell
E_tot: -4.07 eV per atom
Energy of formation: 1695 meV per atom
Crystal system: cubic
SG: F-43m, No. 216

```
3
Lattice="0.0000 3.3589 3.3589 3.3589 0.0000 3.3589 3.3589 3.3589 0.0000" Properties=species:S:1:pos:R:3 pbc="T T T"
Ca 0.0000 0.0000 0.0000
Re 5.0383 5.0383 5.0383
Ag 1.6794 1.6794 1.6794
```